Entry from Alexandria via LeMat-Bulk: a relaxed structure of SrU2Se6 (PBE-GGA).

abc: 6.8348 9.1626 9.1626
angles: 59.72 75.46 75.46
With the nearest neighbours (Å) after each atom.
Sites, in units of the cell vectors:
Sr  0.2500  0.2567  0.7433  6 Se 3.14-3.25
Sr  0.7500  0.7433  0.2567  6 Se 3.14-3.25
U  0.9988  0.7505  0.7513  8 Se 2.82-2.99
U  0.5012  0.2487  0.2495  8 Se 2.82-2.99
U  0.0012  0.2495  0.2487  8 Se 2.82-2.99
U  0.4988  0.7513  0.7505  8 Se 2.82-2.99
Se  0.3361  0.6895  0.5285  2 U 2.82-2.88, 1 Se 3.08
Se  0.1639  0.4715  0.3105  2 U 2.82-2.88, 1 Se 3.08
Se  0.6639  0.3105  0.4715  2 U 2.82-2.88, 1 Se 3.08
Se  0.8361  0.5285  0.6895  2 U 2.82-2.88, 1 Se 3.08
Se  0.7890  0.9421  0.4418  4 U 2.97-2.99, 1 Sr 3.14, 2 Se 3.27-3.28
Se  0.7110  0.5582  0.0579  4 U 2.97-2.99, 1 Sr 3.14, 2 Se 3.27-3.28
Se  0.2110  0.0579  0.5582  4 U 2.97-2.99, 1 Sr 3.14, 2 Se 3.27-3.28
Se  0.2890  0.4418  0.9421  4 U 2.97-2.99, 1 Sr 3.14, 2 Se 3.27-3.28
Se  0.1600  0.8099  0.9737  2 U 2.82-2.87, 1 Se 3.08
Se  0.3400  0.0263  0.1901  2 U 2.82-2.87, 1 Se 3.08
Se  0.8400  0.1901  0.0263  2 U 2.82-2.87, 1 Se 3.08
Se  0.6600  0.9737  0.8099  2 U 2.82-2.87, 1 Se 3.08

Values from the calculation:
The calculation puts the uncorrected formation energy at -1.125 eV/atom.